Entry 1:
# PBE-GGA TaCuNi2, optimized geometry
# crystal system: tetragonal
# total magnetization: 0.00 μB per cell
# raw total energy: -6.893 eV/atom
# energy relative to the elements: -0.01 eV/atom
data_TaCuNi2
_cell_length_a 4.211
_cell_length_b 4.211
_cell_length_c 2.944
_cell_angle_alpha 90.00
_cell_angle_beta 90.00
_cell_angle_gamma 90.00
_space_group_name_H-M_alt 'P 4/m m m'
_space_group_IT_number 123
_space_group_name_Hall '-P 4 2'
loop_
_atom_site_label
_atom_site_type_symbol
_atom_site_fract_x
_atom_site_fract_y
_atom_site_fract_z
_atom_site_occupancy
Ta1 Ta 0.000 0.000 0.000 1
Cu1 Cu 0.500 0.500 0.000 1
Ni1 Ni 0.000 0.500 0.500 1



Entry 2:
# PBE-GGA InSnPb6, optimized geometry
# crystal system: monoclinic
# total magnetization: 0.00 μB per cell
# raw total energy: -3.552 eV/atom
# energy relative to the elements: 0.07 eV/atom
# E above lowest polymorph: 0.034 eV per atom
data_InSnPb6
_cell_length_a 8.441
_cell_length_b 9.703
_cell_length_c 6.249
_cell_angle_alpha 90.00
_cell_angle_beta 99.52
_cell_angle_gamma 90.00
_space_group_name_H-M_alt 'C 1 2/m 1'
_space_group_IT_number 12
_space_group_name_Hall '-C 2y'
loop_
_atom_site_label
_atom_site_type_symbol
_atom_site_fract_x
_atom_site_fract_y
_atom_site_fract_z
_atom_site_occupancy
In1 In 0.000 0.000 0.000 1
Sn1 Sn 0.000 0.000 0.500 1
Pb1 Pb 0.140 0.500 0.727 1
Pb2 Pb 0.195 0.314 0.236 1



Entry 3:
# PBE-GGA Y6SbAs5, optimized geometry
# crystal system: monoclinic
# total magnetization: 0.00 μB per cell
# formation energy without anion corrections: -142.5 kJ per mole of atoms
# raw total energy: -6.990 eV/atom
data_Y6SbAs5
_cell_length_a 7.228
_cell_length_b 12.508
_cell_length_c 7.218
_cell_angle_alpha 90.00
_cell_angle_beta 109.50
_cell_angle_gamma 90.00
_space_group_name_H-M_alt 'C 1 2/m 1'
_space_group_IT_number 12
_space_group_name_Hall '-C 2y'
loop_
_atom_site_label
_atom_site_type_symbol
_atom_site_fract_x
_atom_site_fract_y
_atom_site_fract_z
_atom_site_occupancy
Y1 Y 0.241 0.000 0.255 1
Y2 Y 0.243 0.172 0.744 1
Sb1 Sb 0.000 0.500 0.000 1
As1 As 0.000 0.000 0.500 1
As2 As 0.000 0.167 0.000 1
As3 As 0.000 0.336 0.500 1



Entry 4:
# PBE-GGA Sm6TcBi2, optimized geometry
# crystal system: hexagonal
# total magnetization: 0.01 μB per cell
# raw total energy: -5.609 eV/atom
# energy relative to the elements: -0.45 eV/atom
data_Sm6TcBi2
_cell_length_a 8.5333
_cell_length_b 8.5333
_cell_length_c 4.2958
_cell_angle_alpha 90.00
_cell_angle_beta 90.00
_cell_angle_gamma 120.00
_space_group_name_H-M_alt 'P -6 2 m'
_space_group_IT_number 189
_space_group_name_Hall 'P -6 -2'
loop_
_atom_site_label
_atom_site_type_symbol
_atom_site_fract_x
_atom_site_fract_y
_atom_site_fract_z
_atom_site_occupancy
Sm1 Sm 0.0000 0.2344 0.0000 1
Sm2 Sm 0.0000 0.6023 0.5000 1
Tc1 Tc 0.0000 0.0000 0.5000 1
Bi1 Bi 0.3333 0.6667 0.0000 1



Entry 5:
# PBE-GGA Nd2InNi2Pt5, optimized geometry
# crystal system: tetragonal
# total magnetization: 0.00 μB per cell
# raw total energy: -6.182 eV/atom
# energy relative to the elements: -0.78 eV/atom
data_Nd2InNi2Pt5
_cell_length_a 9.435
_cell_length_b 9.435
_cell_length_c 4.030
_cell_angle_alpha 90.00
_cell_angle_beta 90.00
_cell_angle_gamma 90.00
_space_group_name_H-M_alt 'P 4/m b m'
_space_group_IT_number 127
_space_group_name_Hall '-P 4 2ab'
loop_
_atom_site_label
_atom_site_type_symbol
_atom_site_fract_x
_atom_site_fract_y
_atom_site_fract_z
_atom_site_occupancy
Nd1 Nd 0.175 0.325 0.000 1
In1 In 0.000 0.000 0.000 1
Ni1 Ni 0.121 0.621 0.000 1
Pt1 Pt 0.000 0.500 0.500 1
Pt2 Pt 0.069 0.788 0.500 1



Entry 6:
# PBE-GGA Li2FeAu, optimized geometry
# crystal system: trigonal
# total magnetization: 7.48 μB per cell
# raw total energy: -3.836 eV/atom
# energy relative to the elements: 0.06 eV/atom
data_Li2FeAu
_cell_length_a 2.7760
_cell_length_b 2.7760
_cell_length_c 26.6640
_cell_angle_alpha 90.00
_cell_angle_beta 90.00
_cell_angle_gamma 120.00
_space_group_name_H-M_alt 'R -3 m'
_space_group_IT_number 166
_space_group_name_Hall '-R 3 2"'
loop_
_atom_site_label
_atom_site_type_symbol
_atom_site_fract_x
_atom_site_fract_y
_atom_site_fract_z
_atom_site_occupancy
Li1 Li 0.0000 0.0000 0.2491 1
Fe1 Fe 0.0000 0.0000 0.5000 1
Au1 Au 0.0000 0.0000 0.0000 1



Entry 7:
# PBE-GGA HfCSe2N, optimized geometry
# crystal system: tetragonal
# total magnetization: 0.00 μB per cell
# formation energy without anion corrections: 130.3 kJ per mole of atoms
# raw total energy: -5.544 eV/atom
# E above lowest polymorph: 0.258 eV per atom
data_HfCSe2N
_cell_length_a 5.231
_cell_length_b 5.231
_cell_length_c 3.986
_cell_angle_alpha 90.00
_cell_angle_beta 90.00
_cell_angle_gamma 90.00
_space_group_name_H-M_alt 'P 4/m m m'
_space_group_IT_number 123
_space_group_name_Hall '-P 4 2'
loop_
_atom_site_label
_atom_site_type_symbol
_atom_site_fract_x
_atom_site_fract_y
_atom_site_fract_z
_atom_site_occupancy
Hf1 Hf 0.000 0.000 0.000 1
C1 C 0.500 0.500 0.500 1
Se1 Se 0.000 0.500 0.000 1
N1 N 0.000 0.000 0.500 1



Entry 8:
# PBE-GGA NbRe2W, optimized geometry
# crystal system: tetragonal
# total magnetization: 0.00 μB per cell
# raw total energy: -12.076 eV/atom
# energy relative to the elements: -0.10 eV/atom
data_NbRe2W
_cell_length_a 3.172
_cell_length_b 3.172
_cell_length_c 6.370
_cell_angle_alpha 90.00
_cell_angle_beta 90.00
_cell_angle_gamma 90.00
_space_group_name_H-M_alt 'P 4/m m m'
_space_group_IT_number 123
_space_group_name_Hall '-P 4 2'
loop_
_atom_site_label
_atom_site_type_symbol
_atom_site_fract_x
_atom_site_fract_y
_atom_site_fract_z
_atom_site_occupancy
Nb1 Nb 0.000 0.000 0.000 1
Re1 Re 0.500 0.500 0.255 1
W1 W 0.000 0.000 0.500 1



Entry 9:
# PBE-GGA Tc2PbAu, optimized geometry
# crystal system: tetragonal
# total magnetization: 0.00 μB per cell
# raw total energy: -6.640 eV/atom
# energy relative to the elements: 0.29 eV/atom
data_Tc2PbAu
_cell_length_a 3.021
_cell_length_b 3.021
_cell_length_c 8.260
_cell_angle_alpha 90.00
_cell_angle_beta 90.00
_cell_angle_gamma 90.00
_space_group_name_H-M_alt 'P 4 m m'
_space_group_IT_number 99
_space_group_name_Hall 'P 4 -2'
loop_
_atom_site_label
_atom_site_type_symbol
_atom_site_fract_x
_atom_site_fract_y
_atom_site_fract_z
_atom_site_occupancy
Tc1 Tc 0.000 0.000 0.000 1
Tc2 Tc 0.500 0.500 0.170 1
Pb1 Pb 0.500 0.500 0.721 1
Au1 Au 0.000 0.000 0.417 1



Entry 10:
# PBE-GGA Pr2TmTl, optimized geometry
# crystal system: cubic
# total magnetization: 3.06 μB per cell
# raw total energy: -4.176 eV/atom
# energy relative to the elements: -0.08 eV/atom
# E above lowest polymorph: 0.113 eV per atom
data_Pr2TmTl
_cell_length_a 7.921
_cell_length_b 7.921
_cell_length_c 7.921
_cell_angle_alpha 90.00
_cell_angle_beta 90.00
_cell_angle_gamma 90.00
_space_group_name_H-M_alt 'F m -3 m'
_space_group_IT_number 225
_space_group_name_Hall '-F 4 2 3'
loop_
_atom_site_label
_atom_site_type_symbol
_atom_site_fract_x
_atom_site_fract_y
_atom_site_fract_z
_atom_site_occupancy
Pr1 Pr 0.250 0.250 0.250 1
Tm1 Tm 0.000 0.000 0.000 1
Tl1 Tl 0.000 0.000 0.500 1



Entry 11:
# PBE-GGA Hf2GaFeH, optimized geometry
# crystal system: tetragonal
# total magnetization: 1.88 μB per cell
# raw total energy: -7.266 eV/atom
data_Hf2GaFeH
_cell_length_a 4.458
_cell_length_b 4.458
_cell_length_c 3.565
_cell_angle_alpha 90.00
_cell_angle_beta 90.00
_cell_angle_gamma 90.00
_space_group_name_H-M_alt 'P 4/m m m'
_space_group_IT_number 123
_space_group_name_Hall '-P 4 2'
loop_
_atom_site_label
_atom_site_type_symbol
_atom_site_fract_x
_atom_site_fract_y
_atom_site_fract_z
_atom_site_occupancy
Hf1 Hf 0.000 0.500 0.000 1
Ga1 Ga 0.000 0.000 0.500 1
Fe1 Fe 0.500 0.500 0.500 1
H1 H 0.500 0.500 0.000 1



Entry 12:
# PBE-GGA Dy4Y3ThSe8, optimized geometry
# crystal system: trigonal
# total magnetization: 0.00 μB per cell
# formation energy without anion corrections: -165.5 kJ per mole of atoms
# raw total energy: -6.284 eV/atom
data_Dy4Y3ThSe8
_cell_length_a 8.2018
_cell_length_b 8.2018
_cell_length_c 20.0684
_cell_angle_alpha 90.00
_cell_angle_beta 90.00
_cell_angle_gamma 120.00
_space_group_name_H-M_alt 'R -3 m'
_space_group_IT_number 166
_space_group_name_Hall '-R 3 2"'
loop_
_atom_site_label
_atom_site_type_symbol
_atom_site_fract_x
_atom_site_fract_y
_atom_site_fract_z
_atom_site_occupancy
Dy1 Dy 0.0000 0.0000 0.0000 1
Dy2 Dy 0.0000 0.5000 0.0000 1
Y1 Y 0.0000 0.5000 0.5000 1
Th1 Th 0.0000 0.0000 0.5000 1
Se1 Se 0.0000 0.0000 0.2504 1
Se2 Se 0.0053 0.5027 0.7483 1



Repeat the twelfth record exactly.
# PBE-GGA Dy4Y3ThSe8, optimized geometry
# crystal system: trigonal
# total magnetization: 0.00 μB per cell
# formation energy without anion corrections: -165.5 kJ per mole of atoms
# raw total energy: -6.284 eV/atom
data_Dy4Y3ThSe8
_cell_length_a 8.2018
_cell_length_b 8.2018
_cell_length_c 20.0684
_cell_angle_alpha 90.00
_cell_angle_beta 90.00
_cell_angle_gamma 120.00
_space_group_name_H-M_alt 'R -3 m'
_space_group_IT_number 166
_space_group_name_Hall '-R 3 2"'
loop_
_atom_site_label
_atom_site_type_symbol
_atom_site_fract_x
_atom_site_fract_y
_atom_site_fract_z
_atom_site_occupancy
Dy1 Dy 0.0000 0.0000 0.0000 1
Dy2 Dy 0.0000 0.5000 0.0000 1
Y1 Y 0.0000 0.5000 0.5000 1
Th1 Th 0.0000 0.0000 0.5000 1
Se1 Se 0.0000 0.0000 0.2504 1
Se2 Se 0.0053 0.5027 0.7483 1



- Which of these has the lowest raw total energy?
  NbRe2W